1.
Below is a relaxed structure of Dy3Al3CoHg2, with properties calculated at the GGA-PBE level.

a = 4.1556 Å, b = 7.2796 Å, c = 7.2796 Å
α = 120.00°, β = 90.00°, γ = 90.00°
With the nearest neighbours (Å) after each atom.
Fractional coordinates of all 9 atoms:
Dy 0.0000 0.0000 0.3845  1 Co 2.80, 4 Hg 3.07
Dy 0.0000 0.6155 0.6155  1 Co 2.80, 4 Hg 3.07
Dy 0.0000 0.3845 0.0000  1 Co 2.80, 4 Hg 3.07
Al 0.5000 0.7826 0.0000  2 Co 2.61, 2 Al 2.74
Al 0.5000 0.0000 0.7826  2 Co 2.61, 2 Al 2.74
Al 0.5000 0.2174 0.2174  2 Co 2.61, 2 Al 2.74
Hg 0.5000 0.6667 0.3333  3 Al 2.94, 6 Dy 3.07
Hg 0.5000 0.3333 0.6667  3 Al 2.94, 6 Dy 3.07
Co 0.0000 0.0000 0.0000  6 Al 2.61, 3 Dy 2.80

Summary:
- V (Å³ per cell) = 190.7
- E_form (eV per atom) = -0.4850
- DOS at the Fermi energy (states/eV/atom) = 0.973
- space group = P-62m (189)
- spin magnetization (μB/atom) = 0.00

***

2.
Below is a relaxed structure of DyLuAlCo, with properties calculated at the GGA-PBE level.

a = 4.8966 Å, b = 4.8966 Å, c = 4.8966 Å
α = 60.00°, β = 60.00°, γ = 60.00°
With the nearest neighbours (Å) after each atom.
Fractional coordinates of all 4 atoms:
Dy 0.0000 0.0000 0.0000  4 Al 3.00, 4 Co 3.00
Al 0.2500 0.2500 0.2500  4 Lu 3.00, 4 Dy 3.00
Lu 0.5000 0.5000 0.5000  4 Co 3.00, 4 Al 3.00
Co 0.7500 0.7500 0.7500  4 Lu 3.00, 4 Dy 3.00

Summary:
- V (Å³ per cell) = 83.0
- E_form (eV per atom) = -0.2299
- DOS at the Fermi energy (states/eV/atom) = 0.791
- space group = F-43m (216)
- spin magnetization (μB/atom) = 0.23

***

3.
Below is a relaxed structure of Dy2MnAl12Co3, with properties calculated at the GGA-PBE level.

a = 11.5123 Å, b = 11.5123 Å, c = 11.5123 Å
α = 28.90°, β = 28.90°, γ = 28.90°
With the nearest neighbours (Å) after each atom.
Fractional coordinates of all 18 atoms:
Co 0.0000 0.0000 0.5000  4 Al 2.35
Co 0.5000 0.0000 0.0000  4 Al 2.35
Co 0.0000 0.5000 0.0000  4 Al 2.35
Al 0.8862 0.3897 0.8862  1 Mn 2.45, 2 Al 2.72
Al 0.8613 0.3923 0.3923  2 Co 2.35
Al 0.8862 0.8862 0.3897  1 Mn 2.45, 2 Al 2.72
Al 0.1138 0.6103 0.1138  1 Mn 2.45, 2 Al 2.72
Al 0.6077 0.1387 0.6077  2 Co 2.35
Al 0.3897 0.8862 0.8862  1 Mn 2.45, 2 Al 2.72
Al 0.3923 0.3923 0.8613  2 Co 2.35
Al 0.1387 0.6077 0.6077  2 Co 2.35
Al 0.6077 0.6077 0.1387  2 Co 2.35
Al 0.3923 0.8613 0.3923  2 Co 2.35
Al 0.6103 0.1138 0.1138  1 Mn 2.45, 2 Al 2.72
Al 0.1138 0.1138 0.6103  1 Mn 2.45, 2 Al 2.72
Mn 0.0000 0.0000 0.0000  6 Al 2.45
Dy 0.3617 0.3617 0.3617  12 Al 3.00-3.35
Dy 0.6383 0.6383 0.6383  12 Al 3.00-3.35

Summary:
- V (Å³ per cell) = 315.1
- E_form (eV per atom) = -0.0524
- DOS at the Fermi energy (states/eV/atom) = 0.661
- space group = R-3m (166)
- spin magnetization (μB/atom) = 0.09

***

4.
Below is a relaxed structure of Nd2DyAl12Co3, with properties calculated at the GGA-PBE level.

a = 7.9376 Å, b = 7.9376 Å, c = 7.9376 Å
α = 64.05°, β = 64.05°, γ = 64.05°
With the nearest neighbours (Å) after each atom.
Fractional coordinates of all 18 atoms:
Al 0.8390 0.8390 0.4724  1 Co 2.29
Al 0.8390 0.4724 0.8390  1 Co 2.29
Al 0.5276 0.1610 0.1610  1 Co 2.29
Al 0.4724 0.8390 0.8390  1 Co 2.29
Al 0.7220 0.7220 0.1004  2 Co 2.21
Al 0.8996 0.2780 0.2780  2 Co 2.21
Al 0.1610 0.1610 0.5276  1 Co 2.29
Al 0.1004 0.7220 0.7220  2 Co 2.21
Al 0.7220 0.1004 0.7220  2 Co 2.21
Al 0.2780 0.2780 0.8996  2 Co 2.21
Al 0.2780 0.8996 0.2780  2 Co 2.21
Al 0.1610 0.5276 0.1610  1 Co 2.29
Co 0.5000 0.0000 0.0000  6 Al 2.21-2.29
Co 0.0000 0.0000 0.5000  6 Al 2.21-2.29
Co 0.0000 0.5000 0.0000  6 Al 2.21-2.29
Dy 0.0000 0.0000 0.0000  12 Al 3.22-3.40
Nd 0.4147 0.4147 0.4147  6 Al 3.05-3.30, 1 Nd 3.21
Nd 0.5853 0.5853 0.5853  6 Al 3.05-3.30, 1 Nd 3.21

Summary:
- V (Å³ per cell) = 385.1
- E_form (eV per atom) = -0.0015
- DOS at the Fermi energy (states/eV/atom) = 0.565
- space group = R-3m (166)
- spin magnetization (μB/atom) = 0.00

***

5.
Below is a relaxed structure of DyAl3CoNi, with properties calculated at the GGA-PBE level.

a = 5.3683 Å, b = 7.6861 Å, c = 6.4249 Å
α = 126.74°, β = 90.00°, γ = 90.00°
With the nearest neighbours (Å) after each atom.
Fractional coordinates of all 12 atoms:
Dy 0.2500 0.7003 0.4005  1 Ni 2.63, 3 Co 2.91-2.95, 2 Al 2.94
Dy 0.7500 0.2997 0.5995  1 Ni 2.63, 3 Co 2.91-2.95, 2 Al 2.94
Al 0.5000 0.2559 0.0000  2 Ni 2.42, 2 Co 2.46, 2 Al 2.68
Al 0.7500 0.8177 0.6354  1 Ni 2.33, 1 Co 2.42
Al 0.0000 0.7441 0.0000  2 Ni 2.42, 2 Co 2.46, 2 Al 2.68
Al 0.2500 0.1823 0.3646  1 Ni 2.33, 1 Co 2.42
Al 0.5000 0.7441 0.0000  2 Ni 2.42, 2 Co 2.46, 2 Al 2.68
Al 0.0000 0.2559 0.0000  2 Ni 2.42, 2 Co 2.46, 2 Al 2.68
Co 0.2500 0.4175 0.8351  5 Al 2.42-2.46
Co 0.7500 0.5825 0.1649  5 Al 2.42-2.46
Ni 0.7500 0.0443 0.0886  5 Al 2.33-2.42
Ni 0.2500 0.9557 0.9114  5 Al 2.33-2.42

Summary:
- V (Å³ per cell) = 212.4
- E_form (eV per atom) = -0.2843
- DOS at the Fermi energy (states/eV/atom) = 0.550
- space group = Cmcm (63)
- spin magnetization (μB/atom) = 0.00

***

6.
Below is a relaxed structure of Dy2Al4CoPt3, with properties calculated at the GGA-PBE level.

a = 4.1278 Å, b = 4.1278 Å, c = 10.5534 Å
α = 90.00°, β = 90.00°, γ = 90.00°
With the nearest neighbours (Å) after each atom.
Fractional coordinates of all 10 atoms:
Pt 0.5000 0.0000 0.8599  5 Al 2.50-2.54
Pt 0.0000 0.5000 0.1401  5 Al 2.50-2.54
Pt 0.0000 0.0000 0.5000  4 Al 2.44
Dy 0.5000 0.0000 0.2596  8 Al 3.17-3.43, 6 Pt 3.18-3.27, 2 Co 3.27
Dy 0.0000 0.5000 0.7404  8 Al 3.17-3.43, 6 Pt 3.18-3.27, 2 Co 3.27
Al 0.5000 0.0000 0.6233  3 Pt 2.44-2.50, 2 Co 2.44
Al 0.5000 0.5000 0.0000  4 Pt 2.54
Al 0.0000 0.0000 0.0000  4 Pt 2.54
Al 0.0000 0.5000 0.3767  2 Co 2.44, 3 Pt 2.44-2.50
Co 0.5000 0.5000 0.5000  4 Al 2.44

Summary:
- V (Å³ per cell) = 179.8
- E_form (eV per atom) = -0.9716
- DOS at the Fermi energy (states/eV/atom) = 0.665
- space group = P-4m2 (115)
- spin magnetization (μB/atom) = 0.00

***

7.
Below is a relaxed structure of DyAlCoRu, with properties calculated at the GGA-PBE level.

a = 4.4691 Å, b = 4.4691 Å, c = 4.4691 Å
α = 60.00°, β = 60.00°, γ = 60.00°
With the nearest neighbours (Å) after each atom.
Fractional coordinates of all 4 atoms:
Co 0.2500 0.2500 0.2500  4 Dy 2.74, 4 Al 2.74
Al 0.0000 0.0000 0.0000  4 Ru 2.74, 4 Co 2.74
Dy 0.5000 0.5000 0.5000  4 Co 2.74, 4 Ru 2.74
Ru 0.7500 0.7500 0.7500  4 Dy 2.74, 4 Al 2.74

Summary:
- V (Å³ per cell) = 63.1
- E_form (eV per atom) = -0.3261
- DOS at the Fermi energy (states/eV/atom) = 0.960
- space group = F-43m (216)
- spin magnetization (μB/atom) = 0.00

***

8.
Below is a relaxed structure of Dy3AlCoS7, with properties calculated at the GGA-PBE level.

a = 9.5110 Å, b = 9.5110 Å, c = 6.1603 Å
α = 90.00°, β = 90.00°, γ = 120.00°
With the nearest neighbours (Å) after each atom.
Fractional coordinates of all 24 atoms:
S 0.9032 0.1263 0.1778  2 Co 2.38-2.42
S 0.3333 0.6667 0.4873  1 Al 2.24
S 0.0968 0.8737 0.6778  2 Co 2.38-2.42
S 0.1263 0.2231 0.6778  2 Co 2.38-2.42
S 0.4337 0.9127 0.0028  1 Al 2.24
S 0.6667 0.3333 0.9873  1 Al 2.24
S 0.5663 0.0873 0.5028  1 Al 2.24
S 0.8737 0.7769 0.1778  2 Co 2.38-2.42
S 0.0873 0.5211 0.0028  1 Al 2.24
S 0.9127 0.4789 0.5028  1 Al 2.24
S 0.4789 0.5663 0.0028  1 Al 2.24
S 0.5211 0.4337 0.5028  1 Al 2.24
S 0.2231 0.0968 0.1778  2 Co 2.38-2.42
S 0.7769 0.9032 0.6778  2 Co 2.38-2.42
Al 0.6667 0.3333 0.3502  4 S 2.24
Al 0.3333 0.6667 0.8502  4 S 2.24
Dy 0.8433 0.2178 0.7752  7 S 2.73-3.00
Dy 0.6254 0.8433 0.2752  7 S 2.73-3.00
Dy 0.3746 0.1567 0.7752  7 S 2.73-3.00
Dy 0.1567 0.7822 0.2752  7 S 2.73-3.00
Dy 0.7822 0.6254 0.7752  7 S 2.73-3.00
Dy 0.2178 0.3746 0.2752  7 S 2.73-3.00
Co 0.0000 0.0000 0.9322  6 S 2.38-2.42
Co 0.0000 0.0000 0.4322  6 S 2.38-2.42

Summary:
- V (Å³ per cell) = 482.6
- DOS at the Fermi energy (states/eV/atom) = 0.164
- space group = P6_3 (173)
- spin magnetization (μB/atom) = 0.08
- formation energy (no corrections) (eV/atom) = -1.551

***

9.
Below is a relaxed structure of DyAl2Co2Si, with properties calculated at the GGA-PBE level.

a = 4.2258 Å, b = 4.2258 Å, c = 5.5520 Å
α = 90.00°, β = 90.00°, γ = 90.00°
With the nearest neighbours (Å) after each atom.
Fractional coordinates of all 6 atoms:
Al 0.5000 0.5000 0.2548  4 Co 2.54, 2 Al 2.72-2.83
Al 0.5000 0.5000 0.7452  4 Co 2.54, 2 Al 2.72-2.83
Dy 0.0000 0.0000 0.5000  2 Si 2.78
Si 0.0000 0.0000 0.0000  4 Co 2.11
Co 0.0000 0.5000 0.0000  2 Si 2.11
Co 0.5000 0.0000 0.0000  2 Si 2.11

Summary:
- V (Å³ per cell) = 99.1
- DOS at the Fermi energy (states/eV/atom) = 0.896
- space group = P4/mmm (123)
- spin magnetization (μB/atom) = 0.17
- formation energy (no corrections) (eV/atom) = -0.382

***

10.
Below is a relaxed structure of SmDyAlCo, with properties calculated at the GGA-PBE level.

a = 5.0159 Å, b = 5.0159 Å, c = 5.0159 Å
α = 60.00°, β = 60.00°, γ = 60.00°
With the nearest neighbours (Å) after each atom.
Fractional coordinates of all 4 atoms:
Sm 0.5000 0.5000 0.5000  4 Al 3.07, 4 Co 3.07
Al 0.7500 0.7500 0.7500  4 Dy 3.07, 4 Sm 3.07
Co 0.2500 0.2500 0.2500  4 Sm 3.07, 4 Dy 3.07
Dy 0.0000 0.0000 0.0000  4 Co 3.07, 4 Al 3.07

Summary:
- V (Å³ per cell) = 89.2
- E_form (eV per atom) = -0.1578
- DOS at the Fermi energy (states/eV/atom) = 0.711
- space group = F-43m (216)
- spin magnetization (μB/atom) = 0.26

***

no.,energy (eV/atom)
1,-4.12
2,-5.22
3,-4.75
4,-4.47
5,-5.07
6,-5.91
7,-6.51
8,-6.01
9,-5.67
10,-5.20